SrGd2S3: optimized geometry, PBE.

a b c (Å): 4.033 4.033 9.958
angles (deg): 90.00 90.00 120.00
Atoms (fractional coordinates):
Sr1 0.000 0.000 0.000
Gd1 0.333 0.667 0.651
Gd2 0.667 0.333 0.349
S1 0.000 0.000 0.500
S2 0.333 0.667 0.183
S3 0.667 0.333 0.817

---

SrGdS2: optimized geometry, PBE.

a b c (Å): 4.087 4.087 5.774
angles (deg): 90.00 90.00 90.00
Atoms (fractional coordinates):
Sr1 0.000 0.000 0.000
Gd1 0.500 0.500 0.500
S1 0.000 0.000 0.500
S2 0.500 0.500 0.000

---

Sequential total magnetic moment output: 0.00, 0.00 μB/f.u.
Sequential total energy output: -5.95, -5.66 eV per atom